LaTiTe2C: optimized geometry, GGA-PBE.

Values from the calculation:
* formation energy from raw total energies: 43.8 kcal/mol of atoms
* VASP energy: -18.84 eV/f.u.

a = 6.0754 Å, b = 6.0754 Å, c = 5.9260 Å
α = 90.00°, β = 90.00°, γ = 90.00°
With the nearest neighbours (Å) after each atom.
Sites, in units of the cell vectors:
La 0.0000 0.0000 0.0000  2 Ti 2.96, 4 Te 3.04
Ti 0.0000 0.0000 0.5000  2 La 2.96
Te 0.0000 0.5000 0.0000  2 La 3.04
Te 0.5000 0.0000 0.0000  2 La 3.04
C 0.5000 0.5000 0.5000  8 Te 4.24, 4 Ti 4.30